## one
A plane-wave DFT calculation with GGA-PBE was carried out for a relaxed structure of RePICl2.

Output
As for the crystal system: tetragonal.

Cell lengths 4.7838, 4.7838, 4.8060 Å; angles 90.00, 90.00, 90.00 degrees
Last column: nearest neighbours and their distance in Å.
Fractional positions:
Re: 0.0000 0.0000 0.0000  4 Cl 2.39, 2 P 2.40
P: 0.0000 0.0000 0.5000  2 Re 2.40
I: 0.5000 0.5000 0.5000  4 P 3.38, 8 Cl 3.39
Cl: 0.0000 0.5000 0.0000  2 Re 2.39
Cl: 0.5000 0.0000 0.0000  2 Re 2.39


## two
A plane-wave DFT calculation with GGA-PBE was carried out for a relaxed structure of RePICl2.

Output
As for the crystal system: tetragonal.

Cell lengths 5.3692, 5.3692, 5.4238 Å; angles 90.00, 90.00, 90.00 degrees
Last column: nearest neighbours and their distance in Å.
Fractional positions:
Re: 0.0000 0.0000 0.0000  4 P 3.80, 8 Cl 3.82
P: 0.5000 0.5000 0.0000  2 I 2.71
I: 0.5000 0.5000 0.5000  4 Cl 2.68, 2 P 2.71
Cl: 0.0000 0.5000 0.5000  2 I 2.68
Cl: 0.5000 0.0000 0.5000  2 I 2.68


Energies relative to the most stable structure, in eV/atom: one 0.000; two 1.371.


## one
A plane-wave DFT calculation with GGA-PBE was carried out for a relaxed structure of SbPICl2.

Output
As for the crystal system: tetragonal.

Cell lengths 5.3140, 5.3140, 5.5346 Å; angles 90.00, 90.00, 90.00 degrees
Last column: nearest neighbours and their distance in Å.
Fractional positions:
Sb: 0.0000 0.0000 0.0000  4 P 3.76, 8 Cl 3.84
P: 0.5000 0.5000 0.0000  2 I 2.77
I: 0.5000 0.5000 0.5000  4 Cl 2.66, 2 P 2.77
Cl: 0.0000 0.5000 0.5000  2 I 2.66
Cl: 0.5000 0.0000 0.5000  2 I 2.66


## two
A plane-wave DFT calculation with GGA-PBE was carried out for a relaxed structure of SbPICl2.

Output
As for the crystal system: tetragonal.

Cell lengths 5.0653, 5.0653, 5.8489 Å; angles 90.00, 90.00, 90.00 degrees
Last column: nearest neighbours and their distance in Å.
Fractional positions:
Sb: 0.0000 0.0000 0.0000  4 Cl 2.53
P: 0.0000 0.0000 0.5000  2 Sb 2.92
I: 0.5000 0.5000 0.5000  4 P 3.58, 8 Cl 3.87
Cl: 0.0000 0.5000 0.0000  2 Sb 2.53
Cl: 0.5000 0.0000 0.0000  2 Sb 2.53


Energies relative to the most stable structure, in eV/atom: one 0.629; two 0.000.


## one
A plane-wave DFT calculation with GGA-PBE was carried out for a relaxed structure of ScP2ICl.

Output
As for the crystal system: tetragonal.

Cell lengths 5.1520, 5.1520, 5.1134 Å; angles 90.00, 90.00, 90.00 degrees
Last column: nearest neighbours and their distance in Å.
Fractional positions:
Sc: 0.0000 0.0000 0.0000  8 P 3.63, 4 Cl 3.64
P: 0.0000 0.5000 0.5000  2 I 2.58
P: 0.5000 0.0000 0.5000  2 I 2.58
I: 0.5000 0.5000 0.5000  2 Cl 2.56, 4 P 2.58
Cl: 0.5000 0.5000 0.0000  2 I 2.56


## two
A plane-wave DFT calculation with GGA-PBE was carried out for a relaxed structure of ScP2ICl.

Output
As for the crystal system: tetragonal.

Cell lengths 5.1723, 5.1723, 4.8272 Å; angles 90.00, 90.00, 90.00 degrees
Last column: nearest neighbours and their distance in Å.
Fractional positions:
Sc: 0.0000 0.0000 0.0000  2 Cl 2.41, 4 P 2.59
P: 0.0000 0.5000 0.0000  2 Sc 2.59
P: 0.5000 0.0000 0.0000  2 Sc 2.59
I: 0.5000 0.5000 0.5000  8 P 3.54, 4 Cl 3.66
Cl: 0.0000 0.0000 0.5000  2 Sc 2.41


Energies relative to the most stable structure, in eV/atom: one 0.846; two 0.000.


## one
A plane-wave DFT calculation with GGA-PBE was carried out for a relaxed structure of ScPICl2.

Output
As for the crystal system: tetragonal.

Cell lengths 4.7806, 4.7806, 5.7830 Å; angles 90.00, 90.00, 90.00 degrees
Last column: nearest neighbours and their distance in Å.
Fractional positions:
Sc: 0.0000 0.0000 0.0000  4 Cl 2.39
P: 0.0000 0.0000 0.5000  2 Sc 2.89
I: 0.5000 0.5000 0.5000  4 P 3.38, 8 Cl 3.75
Cl: 0.0000 0.5000 0.0000  2 Sc 2.39
Cl: 0.5000 0.0000 0.0000  2 Sc 2.39


## two
A plane-wave DFT calculation with GGA-PBE was carried out for a relaxed structure of ScPICl2.

Output
As for the crystal system: tetragonal.

Cell lengths 5.2802, 5.2802, 5.4438 Å; angles 90.00, 90.00, 90.00 degrees
Last column: nearest neighbours and their distance in Å.
Fractional positions:
Sc: 0.0000 0.0000 0.0000  4 P 3.73, 8 Cl 3.79
P: 0.5000 0.5000 0.0000  2 I 2.72
I: 0.5000 0.5000 0.5000  4 Cl 2.64, 2 P 2.72
Cl: 0.0000 0.5000 0.5000  2 I 2.64
Cl: 0.5000 0.0000 0.5000  2 I 2.64


Energies relative to the most stable structure, in eV/atom: one 0.000; two 1.302.


## one
A plane-wave DFT calculation with GGA-PBE was carried out for a relaxed structure of SrP2ICl.

Output
As for the crystal system: tetragonal.

Cell lengths 5.1986, 5.1986, 5.5428 Å; angles 90.00, 90.00, 90.00 degrees
Last column: nearest neighbours and their distance in Å.
Fractional positions:
Sr: 0.0000 0.0000 0.0000  4 Cl 3.68, 8 P 3.80
P: 0.0000 0.5000 0.5000  2 I 2.60
P: 0.5000 0.0000 0.5000  2 I 2.60
I: 0.5000 0.5000 0.5000  4 P 2.60, 2 Cl 2.77
Cl: 0.5000 0.5000 0.0000  2 I 2.77


## two
A plane-wave DFT calculation with GGA-PBE was carried out for a relaxed structure of SrP2ICl.

Output
As for the crystal system: tetragonal.

Cell lengths 6.1793, 6.1793, 5.3943 Å; angles 90.00, 90.00, 90.00 degrees
Last column: nearest neighbours and their distance in Å.
Fractional positions:
Sr: 0.0000 0.0000 0.0000  2 Cl 2.70
P: 0.0000 0.5000 0.0000  2 Sr 3.09
P: 0.5000 0.0000 0.0000  2 Sr 3.09
I: 0.5000 0.5000 0.5000  8 P 4.10, 4 Cl 4.37
Cl: 0.0000 0.0000 0.5000  2 Sr 2.70


Energies relative to the most stable structure, in eV/atom: one 0.000; two 0.212.


## one
A plane-wave DFT calculation with GGA-PBE was carried out for a relaxed structure of TaPICl2.

Output
As for the crystal system: tetragonal.

Cell lengths 4.7745, 4.7745, 5.1960 Å; angles 90.00, 90.00, 90.00 degrees
Last column: nearest neighbours and their distance in Å.
Fractional positions:
Ta: 0.0000 0.0000 0.0000  4 Cl 2.39, 2 P 2.60
P: 0.0000 0.0000 0.5000  2 Ta 2.60
I: 0.5000 0.5000 0.5000  4 P 3.38, 8 Cl 3.53
Cl: 0.0000 0.5000 0.0000  2 Ta 2.39
Cl: 0.5000 0.0000 0.0000  2 Ta 2.39


## two
A plane-wave DFT calculation with GGA-PBE was carried out for a relaxed structure of TaPICl2.

Output
As for the crystal system: tetragonal.

Cell lengths 5.2439, 5.2439, 5.4159 Å; angles 90.00, 90.00, 90.00 degrees
Last column: nearest neighbours and their distance in Å.
Fractional positions:
Ta: 0.0000 0.0000 0.0000  4 P 3.71, 8 Cl 3.77
P: 0.5000 0.5000 0.0000  2 I 2.71
I: 0.5000 0.5000 0.5000  4 Cl 2.62, 2 P 2.71
Cl: 0.0000 0.5000 0.5000  2 I 2.62
Cl: 0.5000 0.0000 0.5000  2 I 2.62


Energies relative to the most stable structure, in eV/atom: one 0.000; two 1.749.


## one
A plane-wave DFT calculation with GGA-PBE was carried out for a relaxed structure of TiPICl2.

Output
As for the crystal system: tetragonal.

Cell lengths 5.2941, 5.2941, 5.4173 Å; angles 90.00, 90.00, 90.00 degrees
Last column: nearest neighbours and their distance in Å.
Fractional positions:
Ti: 0.0000 0.0000 0.0000  4 P 3.74, 8 Cl 3.79
P: 0.5000 0.5000 0.0000  2 I 2.71
I: 0.5000 0.5000 0.5000  4 Cl 2.65, 2 P 2.71
Cl: 0.0000 0.5000 0.5000  2 I 2.65
Cl: 0.5000 0.0000 0.5000  2 I 2.65


## two
A plane-wave DFT calculation with GGA-PBE was carried out for a relaxed structure of TiPICl2.

Output
As for the crystal system: tetragonal.

Cell lengths 4.6303, 4.6303, 5.4360 Å; angles 90.00, 90.00, 90.00 degrees
Last column: nearest neighbours and their distance in Å.
Fractional positions:
Ti: 0.0000 0.0000 0.0000  4 Cl 2.32
P: 0.0000 0.0000 0.5000  2 Ti 2.72
I: 0.5000 0.5000 0.5000  4 P 3.27, 8 Cl 3.57
Cl: 0.0000 0.5000 0.0000  2 Ti 2.32
Cl: 0.5000 0.0000 0.0000  2 Ti 2.32


Energies relative to the most stable structure, in eV/atom: one 1.460; two 0.000.


## one
A plane-wave DFT calculation with GGA-PBE was carried out for a relaxed structure of TlP2ICl.

Output
As for the crystal system: tetragonal.

Cell lengths 5.3352, 5.3352, 5.2352 Å; angles 90.00, 90.00, 90.00 degrees
Last column: nearest neighbours and their distance in Å.
Fractional positions:
Tl: 0.0000 0.0000 0.0000  2 Cl 2.62, 4 P 2.67
P: 0.0000 0.5000 0.0000  2 Tl 2.67
P: 0.5000 0.0000 0.0000  2 Tl 2.67
I: 0.5000 0.5000 0.5000  8 P 3.74, 4 Cl 3.77
Cl: 0.0000 0.0000 0.5000  2 Tl 2.62


## two
A plane-wave DFT calculation with GGA-PBE was carried out for a relaxed structure of TlP2ICl.

Output
As for the crystal system: tetragonal.

Cell lengths 5.1238, 5.1238, 6.6568 Å; angles 90.00, 90.00, 90.00 degrees
Last column: nearest neighbours and their distance in Å.
Fractional positions:
Tl: 0.0000 0.0000 0.0000  4 Cl 3.62
P: 0.0000 0.5000 0.5000  2 I 2.56
P: 0.5000 0.0000 0.5000  2 I 2.56
I: 0.5000 0.5000 0.5000  4 P 2.56
Cl: 0.5000 0.5000 0.0000  2 I 3.33, 4 Tl 3.62


Energies relative to the most stable structure, in eV/atom: one 0.075; two 0.000.